An optimized crystal structure of PuCd2HgO6. Source: the Alexandria database, functional PBE.

Total magnetization ... 2.000 μB per cell
Energy relative to the elements, uncorrected ... -1.4339 eV/atom

POSCAR file:
```
PuCd2HgO6
1.0
5.8886 0.2531 -0.1123
3.1609 5.1934 0.0845
2.9193 1.9596 5.1924
Pu Cd Hg O
1 2 1 6
direct
0.3169 0.3251 0.0350
0.5346 0.5129 0.3986
0.0221 0.0575 0.9282
0.8039 0.8130 0.5575
0.6082 0.1882 0.2712
0.2591 0.9607 0.2197
0.9636 0.5189 0.2487
0.3727 0.6879 0.8239
0.6703 0.1538 0.7908
0.1103 0.4437 0.7416
```

---

An optimized crystal structure of PuCdHgO. Source: the Alexandria database, functional PBE.

Total magnetization ... 10.595 μB per cell
Energy relative to the elements, uncorrected ... -1.2942 eV/atom

POSCAR file:
```
PuCdHgO
1.0
-0.3990 -0.9513 4.0178
-3.2992 -2.3536 -0.8849
6.0570 -8.0041 -1.2937
Pu Cd Hg O
2 2 2 2
direct
0.0000 0.5000 0.8961
0.5000 0.0000 0.1039
0.0000 0.0000 0.5000
0.5000 0.5000 0.5000
0.5000 0.0000 0.7200
0.0000 0.5000 0.2800
0.5000 0.5000 0.0000
0.0000 0.0000 0.0000
```

---

An optimized crystal structure of PuCdHg2O6. Source: the Alexandria database, functional PBE.

Total magnetization ... 2.001 μB per cell
Energy relative to the elements, uncorrected ... -1.2672 eV/atom

POSCAR file:
```
PuCdHg2O6
1.0
5.8349 0.0003 0.0002
2.9177 5.0532 -0.0001
2.9176 1.6847 4.9873
Pu Cd Hg O
1 1 2 6
direct
0.3162 0.3162 0.0515
0.8161 0.8161 0.5516
0.5574 0.5574 0.3277
0.0750 0.0751 0.7749
0.5418 0.1998 0.2961
0.1998 0.9624 0.2961
0.9623 0.5418 0.2961
0.4325 0.6699 0.8070
0.6700 0.0905 0.8071
0.0905 0.4325 0.8070
```